# GaCo2Ru

Crystalline GaCo2Ru at its relaxed geometry (PBE, Alexandria via LeMat-Bulk).

Values from the calculation:
Crystal system: trigonal

a b c (Å): 2.6722 2.6722 24.1128
angles (deg): 90.00 90.00 120.00
Space group R3m (No. 160, hexagonal axes)
Asymmetric unit:
Ga1 0.0000 0.0000 0.0000 x3
Co1 0.0000 0.0000 0.4169 x3
Co2 0.0000 0.0000 0.5838 x3
Ru1 0.0000 0.0000 0.8336 x3

# Ga4Co3Ru

Crystalline Ga4Co3Ru at its relaxed geometry (PBE, Alexandria via LeMat-Bulk).

Values from the calculation:
Crystal system: orthorhombic

a b c (Å): 2.9770 4.1025 8.2019
angles (deg): 90.00 90.00 90.00
Space group Pmmm (No. 47)
Asymmetric unit:
Ga1 0.0000 0.0000 0.0000 x1
Ga2 0.0000 0.0000 0.5000 x1
Ga3 0.0000 0.5000 0.2434 x2
Co1 0.5000 0.0000 0.2406 x2
Co2 0.5000 0.5000 0.0000 x1
Ru1 0.5000 0.5000 0.5000 x1

# Ga2Co2Ru

Crystalline Ga2Co2Ru at its relaxed geometry (PBE, Alexandria via LeMat-Bulk).

Values from the calculation:
Excess energy over the best structure of this formula in the dataset, kJ per mole of atoms: 6.6
Crystal system: tetragonal

a b c (Å): 6.9152 6.9152 2.6761
angles (deg): 90.00 90.00 90.00
Space group P4/mbm (No. 127)
Asymmetric unit:
Ga1 0.1761 0.3239 0.0000 x4
Co1 0.1213 0.6213 0.5000 x4
Ru1 0.0000 0.0000 0.5000 x2

# GaCo2Ru

Crystalline GaCo2Ru at its relaxed geometry (PBE, Alexandria via LeMat-Bulk).

Values from the calculation:
Crystal system: tetragonal

a b c (Å): 2.6468 2.6468 6.9421
angles (deg): 90.00 90.00 90.00
Space group P4/mmm (No. 123)
Asymmetric unit:
Ga1 0.0000 0.0000 0.0000 x1
Co1 0.5000 0.5000 0.2500 x2
Ru1 0.0000 0.0000 0.5000 x1

# Ga5CoRu4

Crystalline Ga5CoRu4 at its relaxed geometry (PBE, Alexandria via LeMat-Bulk).

Values from the calculation:
Crystal system: tetragonal

a b c (Å): 3.0100 3.0100 14.9714
angles (deg): 90.00 90.00 90.00
Space group P4/mmm (No. 123)
Asymmetric unit:
Ga1 0.0000 0.0000 0.0000 x1
Ga2 0.0000 0.0000 0.2044 x2
Ga3 0.0000 0.0000 0.4063 x2
Co1 0.5000 0.5000 0.5000 x1
Ru1 0.5000 0.5000 0.1018 x2
Ru2 0.5000 0.5000 0.3067 x2

# GaCoRu2

Crystalline GaCoRu2 at its relaxed geometry (PBE, Alexandria via LeMat-Bulk).

Values from the calculation:
Crystal system: trigonal

a b c (Å): 2.7578 2.7578 24.6860
angles (deg): 90.00 90.00 120.00
Space group R3m (No. 160, hexagonal axes)
Asymmetric unit:
Ga1 0.0000 0.0000 0.0000 x3
Co1 0.0000 0.0000 0.1666 x3
Ru1 0.0000 0.0000 0.5820 x3
Ru2 0.0000 0.0000 0.7513 x3

# GaCoRu2

Crystalline GaCoRu2 at its relaxed geometry (PBE, Alexandria via LeMat-Bulk).

Values from the calculation:
Crystal system: tetragonal

a b c (Å): 4.2359 4.2359 2.9479
angles (deg): 90.00 90.00 90.00
Space group P4/mmm (No. 123)
Asymmetric unit:
Ga1 0.0000 0.0000 0.0000 x1
Co1 0.5000 0.5000 0.0000 x1
Ru1 0.0000 0.5000 0.5000 x2

# GaCoRu3

Crystalline GaCoRu3 at its relaxed geometry (PBE, Alexandria via LeMat-Bulk).

Values from the calculation:
Crystal system: cubic

a b c (Å): 4.4752 4.4752 4.4752
angles (deg): 90.00 90.00 90.00
Space group Pm-3m (No. 221)
Asymmetric unit:
Ga1 0.0000 0.0000 0.0000 x1
Co1 0.5000 0.5000 0.5000 x1
Ru1 0.0000 0.0000 0.5000 x3

| no. | formation energy (meV per atom) | calculated volume (Å³/cell) | ρ (g cm⁻³) |
| --- | --- | --- | --- |
| 1 | 41 | 149 | 9.64 |
| 2 | -295 | 100 | 9.23 |
| 3 | 23 | 128 | 9.30 |
| 4 | -31 | 49 | 9.86 |
| 5 | -292 | 136 | 9.94 |
| 6 | 68 | 163 | 10.14 |
| 7 | -3 | 53 | 10.39 |
| 8 | 1605 | 90 | 8.00 |